Entry 1:
First-principles (PBE) data for a geometry-optimized NiSbIr2 structure, as listed in Alexandria.

Cell lengths 4.5973, 4.5973, 4.8066 Å; angles 79.85, 79.85, 37.92 degrees
With the nearest neighbours (Å) after each atom.
Positions (direct):
Ir: 0.0035 0.0035 0.9827  3 Ni 2.65-2.68, 3 Sb 2.70-2.77, 4 Ir 2.70-2.96
Ir: 0.4965 0.4965 0.5173  3 Ni 2.65-2.68, 3 Sb 2.70-2.77, 4 Ir 2.70-2.96
Ni: 0.7500 0.7500 0.7500  6 Ir 2.65-2.68, 4 Sb 2.83
Sb: 0.2500 0.2500 0.2500  6 Ir 2.70-2.77, 4 Ni 2.83, 2 Sb 2.99

SG: C2/m (12)
formation energy from raw total energies: 0.5 eV per formula unit

=====

Entry 2:
First-principles (PBE) data for a geometry-optimized NiSbIr structure, as listed in Alexandria.

Cell lengths 3.9088, 3.9094, 8.2870 Å; angles 90.00, 90.00, 120.00 degrees
With the nearest neighbours (Å) after each atom.
Positions (direct):
Sb: 0.2778 0.5556 0.8156  3 Ir 2.60, 4 Ni 2.62-2.73
Ni: 0.2778 0.5556 0.5000  6 Ir 2.61, 2 Sb 2.62
Ir: 0.6111 0.2222 0.6588  3 Sb 2.60, 4 Ni 2.61-2.83, 1 Ir 2.63
Ni: 0.6111 0.2222 0.0000  6 Sb 2.73, 2 Ir 2.83
Ir: 0.6111 0.2222 0.3412  3 Sb 2.60, 4 Ni 2.61-2.83, 1 Ir 2.63
Sb: 0.2778 0.5556 0.1844  3 Ir 2.60, 4 Ni 2.62-2.73

SG: P-6m2 (187)
formation energy from raw total energies: 0.3 eV per formula unit

=====

Entry 3:
First-principles (PBE) data for a geometry-optimized Ni6SbIr structure, as listed in Alexandria.

Cell lengths 4.6996, 4.6996, 7.1576 Å; angles 70.84, 70.84, 60.00 degrees
With the nearest neighbours (Å) after each atom.
Positions (direct):
Ir: 0.5000 0.5000 0.5000  12 Ni 2.64
Ni: 0.0618 0.5565 0.3199  5 Ni 2.33-2.39, 1 Sb 2.52
Ni: 0.4435 0.9382 0.6801  5 Ni 2.33-2.39, 1 Sb 2.52
Ni: 0.0618 0.0618 0.3199  5 Ni 2.33-2.39, 1 Sb 2.52
Sb: 0.0000 0.0000 0.0000  6 Ni 2.52
Ni: 0.9382 0.4435 0.6801  5 Ni 2.33-2.39, 1 Sb 2.52
Ni: 0.5565 0.0618 0.3199  5 Ni 2.33-2.39, 1 Sb 2.52
Ni: 0.9382 0.9382 0.6801  5 Ni 2.33-2.39, 1 Sb 2.52

SG: R-3m (166)
formation energy from raw total energies: 2.9 eV per formula unit